Arrangement P

VASP calculation (PBE-GGA) on MnIr3N after structural relaxation.

It has space group Pm-3m (No. 221), with a = 4.459 Å, b = 4.459 Å, c = 4.459 Å, α = 90.00°, β = 90.00° and γ = 90.00°. The inequivalent atoms are Mn at (0.000, 0.000, 0.000), Ir at (0.000, 0.000, 0.500) and N at (0.500, 0.500, 0.500).

As for the volume: 17.7 Å³ per atom. The density is 12.090 g/cm³.

***

Arrangement Q

VASP calculation (PBE-GGA) on MnIr3N after structural relaxation.

It has space group Pm-3m (No. 221), with a = 4.089 Å, b = 4.089 Å, c = 4.089 Å, α = 90.00°, β = 90.00° and γ = 90.00°. The inequivalent atoms are Mn at (0.000, 0.000, 0.000), Ir at (0.000, 0.500, 0.500) and N at (0.500, 0.500, 0.500).

As for the volume: 13.7 Å³ per atom. The density is 15.677 g/cm³.

***

Most stable to least stable, the ends of the list are arrangement Q and arrangement P.

***

Arrangement P

VASP calculation (PBE-GGA) on MnPIrN after structural relaxation.

It has space group R3m (No. 160, hexagonal axes), with a = 3.1931 Å, b = 3.1931 Å, c = 17.5712 Å, α = 90.00°, β = 90.00° and γ = 120.00°. The inequivalent atoms are Mn at (0.0000, 0.0000, 0.0000), P at (0.0000, 0.0000, 0.1267), Ir at (0.0000, 0.0000, 0.5372) and N at (0.0000, 0.0000, 0.6580).

As for the volume: 12.9 Å³ per atom. The density is 9.380 g/cm³.

***

Arrangement Q

VASP calculation (PBE-GGA) on MnPIrN after structural relaxation.

It has space group Pmm2 (No. 25), with a = 2.756 Å, b = 3.002 Å, c = 6.481 Å, α = 90.00°, β = 90.00° and γ = 90.00°. The inequivalent atoms are Mn at (0.000, 0.000, 0.000), P at (0.500, 0.000, 0.461), Ir at (0.500, 0.500, 0.727) and N at (0.000, 0.000, 0.307).

As for the volume: 13.4 Å³ per atom. The density is 9.047 g/cm³.

***

Most stable to least stable, the ends of the list are arrangement P and arrangement Q.